Record 1
Compound: Pr5Tl
Source: the Alexandria database
Functional: PBE
Structure: relaxed

Output
- energy of formation from the pure elements (eV per atom) = -0.06
- uncorrected energy (eV/atom) = -4.44
- D(E_F) (states/eV/cell) = 13.712
- volume (Å³ per atom) = 33.39
- distance to the lowest polymorph of the same formula (meV per atom) = 51

a = 5.927 Å, b = 11.269 Å, c = 5.999 Å
α = 90.00°, β = 90.00°, γ = 90.00°
Space group Cmmm (No. 65)
Asymmetric unit:
Pr  0.000  0.000  0.000 x2
Pr  0.000  0.156  0.500 x4
Pr  0.000  0.343  0.000 x4
Tl  0.000  0.500  0.500 x2

---

Record 2
Compound: Pr8Tl3
Source: the Alexandria database
Functional: PBE
Structure: relaxed

Output
- energy of formation from the pure elements (eV per atom) = 0.05
- uncorrected energy (eV/atom) = -4.07
- D(E_F) (states/eV/cell) = 62.701
- volume (Å³ per atom) = 37.28

a = 10.4818 Å, b = 10.4818 Å, c = 12.9312 Å
α = 90.00°, β = 90.00°, γ = 120.00°
Space group R-3 (No. 148, hexagonal axes)
Asymmetric unit:
Pr  0.0000  0.0000  0.1400 x6
Pr  0.0265  0.7939  0.6119 x18
Tl  0.0000  0.5000  0.5000 x9

---

Record 3
Compound: PrTl4
Source: the Alexandria database
Functional: PBE
Structure: relaxed

Output
- energy of formation from the pure elements (eV per atom) = 0.42
- uncorrected energy (eV/atom) = -2.43
- D(E_F) (states/eV/cell) = 5.892
- volume (Å³ per atom) = 45.60
- distance to the lowest polymorph of the same formula (meV per atom) = 605

a = 6.109 Å, b = 6.109 Å, c = 6.109 Å
α = 90.00°, β = 90.00°, γ = 90.00°
Space group Pm-3m (No. 221)
Asymmetric unit:
Pr  0.000  0.000  0.000 x1
Tl  0.000  0.000  0.500 x3
Tl  0.500  0.500  0.500 x1

---

Record 4
Compound: PrTl3
Source: the Alexandria database
Functional: PBE
Structure: relaxed

Output
- energy of formation from the pure elements (eV per atom) = -0.33
- uncorrected energy (eV/atom) = -3.30
- D(E_F) (states/eV/cell) = 1.787
- volume (Å³ per atom) = 28.60

a = 4.854 Å, b = 4.854 Å, c = 4.854 Å
α = 90.00°, β = 90.00°, γ = 90.00°
Space group Pm-3m (No. 221)
Asymmetric unit:
Pr  0.000  0.000  0.000 x1
Tl  0.000  0.500  0.500 x3

---

Record 5
Compound: PrTl3
Source: the Alexandria database
Functional: PBE
Structure: relaxed

Output
- energy of formation from the pure elements (eV per atom) = 0.00
- uncorrected energy (eV/atom) = -2.97
- D(E_F) (states/eV/cell) = 3.462
- volume (Å³ per atom) = 31.83

a = 3.469 Å, b = 3.482 Å, c = 10.539 Å
α = 90.00°, β = 90.00°, γ = 90.00°
Space group Pmm2 (No. 25)
Asymmetric unit:
Pr  0.000  0.000  0.000 x1
Tl  0.000  0.500  0.488 x1
Tl  0.500  0.000  0.724 x1
Tl  0.500  0.500  0.222 x1

---

Record 6
Compound: PrTl7
Source: the Alexandria database
Functional: PBE
Structure: relaxed

Output
- energy of formation from the pure elements (eV per atom) = -0.13
- uncorrected energy (eV/atom) = -2.80
- D(E_F) (states/eV/cell) = 15.172
- volume (Å³ per atom) = 29.73

a = 9.835 Å, b = 9.835 Å, c = 9.835 Å
α = 90.00°, β = 90.00°, γ = 90.00°
Space group Fm-3m (No. 225)
Asymmetric unit:
Pr  0.000  0.000  0.000 x4
Tl  0.000  0.000  0.500 x4
Tl  0.000  0.250  0.250 x24

---

Record 7
Compound: PrTl
Source: the Alexandria database
Functional: PBE
Structure: relaxed

Output
- energy of formation from the pure elements (eV per atom) = -0.35
- uncorrected energy (eV/atom) = -3.92
- D(E_F) (states/eV/cell) = 4.744
- volume (Å³ per atom) = 32.27

a = 4.724 Å, b = 4.556 Å, c = 6.441 Å
α = 90.00°, β = 111.39°, γ = 90.00°
Space group P2_1/m (No. 11)
Asymmetric unit:
Pr  0.134  0.250  0.272 x2
Tl  0.414  0.250  0.822 x2

---

Record 8
Compound: Pr4Tl
Source: the Alexandria database
Functional: PBE
Structure: relaxed

Output
- energy of formation from the pure elements (eV per atom) = 0.36
- uncorrected energy (eV/atom) = -3.94
- D(E_F) (states/eV/cell) = 9.457
- volume (Å³ per atom) = 42.93
- distance to the lowest polymorph of the same formula (meV per atom) = 443

a = 5.987 Å, b = 5.987 Å, c = 5.987 Å
α = 90.00°, β = 90.00°, γ = 90.00°
Space group Pm-3m (No. 221)
Asymmetric unit:
Pr  0.000  0.000  0.000 x1
Pr  0.000  0.500  0.500 x3
Tl  0.500  0.500  0.500 x1

---

Record 9
Compound: Pr7Tl5
Source: the Alexandria database
Functional: PBE
Structure: relaxed

Output
- energy of formation from the pure elements (eV per atom) = -0.23
- uncorrected energy (eV/atom) = -4.00
- D(E_F) (states/eV/cell) = 25.799
- volume (Å³ per atom) = 33.66

a = 11.853 Å, b = 4.985 Å, c = 14.640 Å
α = 90.00°, β = 110.93°, γ = 90.00°
Space group C2/m (No. 12)
Asymmetric unit:
Pr  0.000  0.000  0.000 x2
Pr  0.012  0.500  0.284 x4
Pr  0.174  0.000  0.541 x4
Pr  0.237  0.000  0.822 x4
Tl  0.000  0.500  0.500 x2
Tl  0.158  0.500  0.942 x4
Tl  0.196  0.000  0.299 x4

---

Record 10
Compound: Pr5Tl3
Source: the Alexandria database
Functional: PBE
Structure: relaxed

Output
- energy of formation from the pure elements (eV per atom) = -0.26
- uncorrected energy (eV/atom) = -4.14
- D(E_F) (states/eV/cell) = 17.704
- volume (Å³ per atom) = 31.46
- distance to the lowest polymorph of the same formula (meV per atom) = 58

a = 9.353 Å, b = 10.343 Å, c = 5.203 Å
α = 90.00°, β = 90.00°, γ = 90.00°
Space group Cmmm (No. 65)
Asymmetric unit:
Pr  0.000  0.000  0.000 x2
Pr  0.229  0.500  0.500 x4
Pr  0.250  0.250  0.000 x4
Tl  0.000  0.228  0.500 x4
Tl  0.000  0.500  0.000 x2

---

Record 11
Compound: PrTl
Source: the Alexandria database
Functional: PBE
Structure: relaxed

Output
- energy of formation from the pure elements (eV per atom) = -0.12
- uncorrected energy (eV/atom) = -3.70
- D(E_F) (states/eV/cell) = 16.142
- volume (Å³ per atom) = 34.55

a = 6.514 Å, b = 6.514 Å, c = 6.514 Å
α = 90.00°, β = 90.00°, γ = 90.00°
Space group Fm-3m (No. 225)
Asymmetric unit:
Pr  0.000  0.000  0.000 x4
Tl  0.000  0.000  0.500 x4

---

Record 12
Compound: Pr6Tl5
Source: the Alexandria database
Functional: PBE
Structure: relaxed

Output
- energy of formation from the pure elements (eV per atom) = -0.22
- uncorrected energy (eV/atom) = -3.90
- D(E_F) (states/eV/cell) = 22.401
- volume (Å³ per atom) = 32.91

a = 8.905 Å, b = 11.998 Å, c = 6.991 Å
α = 90.00°, β = 104.23°, γ = 90.00°
Space group C2/m (No. 12)
Asymmetric unit:
Pr  0.189  0.000  0.195 x4
Pr  0.200  0.151  0.691 x8
Tl  0.000  0.232  0.000 x4
Tl  0.000  0.373  0.500 x4
Tl  0.000  0.500  0.000 x2